Entry from the Alexandria database: crystalline Pr2SmTc2N6 at its relaxed geometry (PBE-GGA).

```
data_Pr2SmTc2N6
_chemical_formula_sum 'Pr2 Sm1 Tc2 N6'
_space_group_name_H-M_alt 'P 1'
_space_group_IT_number 1
_cell_length_a 5.792
_cell_length_b 5.792
_cell_length_c 6.947
_cell_angle_alpha 65.36
_cell_angle_beta 65.36
_cell_angle_gamma 60.00
loop_
_space_group_symop_operation_xyz
'x,y,z'
loop_
_atom_site_label
_atom_site_type_symbol
_atom_site_fract_x
_atom_site_fract_y
_atom_site_fract_z
_atom_site_occupancy
N1 N 0.739 0.739 0.296 1
N2 N 0.774 0.261 0.704 1
N3 N 0.261 0.261 0.704 1
N4 N 0.261 0.774 0.704 1
N5 N 0.226 0.739 0.296 1
N6 N 0.739 0.226 0.296 1
Tc1 Tc 0.402 0.402 0.793 1
Tc2 Tc 0.598 0.598 0.207 1
Pr1 Pr 0.792 0.792 0.625 1
Pr2 Pr 0.208 0.208 0.375 1
Sm1 Sm 0.000 0.000 0.000 1
```

Density of states at the Fermi level (states/eV per cell): 4.3
E_form (uncorrected) (eV per formula unit): -6.72
Symmetry: R-3m (166)



Entry from the Alexandria database: crystalline Tb2GeP at its relaxed geometry (PBE-GGA).

```
data_Tb2GeP
_chemical_formula_sum 'Tb4 Ge2 P2'
_space_group_name_H-M_alt 'P 1'
_space_group_IT_number 1
_cell_length_a 3.987
_cell_length_b 4.172
_cell_length_c 11.396
_cell_angle_alpha 100.55
_cell_angle_beta 90.00
_cell_angle_gamma 90.00
loop_
_space_group_symop_operation_xyz
'x,y,z'
loop_
_atom_site_label
_atom_site_type_symbol
_atom_site_fract_x
_atom_site_fract_y
_atom_site_fract_z
_atom_site_occupancy
Tb1 Tb 0.750 0.933 0.866 1
Tb2 Tb 0.750 0.688 0.376 1
Tb3 Tb 0.250 0.067 0.134 1
Tb4 Tb 0.250 0.312 0.624 1
P1 P 0.250 0.188 0.376 1
P2 P 0.750 0.812 0.624 1
Ge1 Ge 0.750 0.541 0.083 1
Ge2 Ge 0.250 0.459 0.917 1
```

Total DFT energy (no corrections) (eV/atom): -6.07
Density of states at the Fermi level (states/eV per cell): 2.8
Symmetry: Cmcm (63)



Entry from the Alexandria database: crystalline HRuO2 at its relaxed geometry (PBE-GGA).

```
data_HRuO2
_chemical_formula_sum 'H2 Ru2 O4'
_space_group_name_H-M_alt 'P 1'
_space_group_IT_number 1
_cell_length_a 4.289
_cell_length_b 4.289
_cell_length_c 4.807
_cell_angle_alpha 63.51
_cell_angle_beta 63.51
_cell_angle_gamma 90.00
loop_
_space_group_symop_operation_xyz
'x,y,z'
loop_
_atom_site_label
_atom_site_type_symbol
_atom_site_fract_x
_atom_site_fract_y
_atom_site_fract_z
_atom_site_occupancy
O1 O 0.550 0.125 0.250 1
O2 O 0.375 0.450 0.750 1
O3 O 0.875 0.800 0.750 1
O4 O 0.200 0.625 0.250 1
H1 H 0.250 0.750 0.500 1
H2 H 0.500 0.500 0.000 1
Ru1 Ru 0.000 0.000 0.000 1
Ru2 Ru 0.750 0.250 0.500 1
```

Total DFT energy (no corrections) (eV/atom): -5.74
Density of states at the Fermi level (states/eV per cell): 2.6
Symmetry: I-42d (122)



Entry from the Alexandria database: crystalline CePr3P4 at its relaxed geometry (PBE-GGA).

```
data_CePr3P4
_chemical_formula_sum 'Ce1 Pr3 P4'
_space_group_name_H-M_alt 'P 1'
_space_group_IT_number 1
_cell_length_a 5.914
_cell_length_b 5.914
_cell_length_c 5.914
_cell_angle_alpha 90.00
_cell_angle_beta 90.00
_cell_angle_gamma 90.00
loop_
_space_group_symop_operation_xyz
'x,y,z'
loop_
_atom_site_label
_atom_site_type_symbol
_atom_site_fract_x
_atom_site_fract_y
_atom_site_fract_z
_atom_site_occupancy
Pr1 Pr 0.000 0.500 0.500 1
Pr2 Pr 0.500 0.500 0.000 1
Pr3 Pr 0.500 0.000 0.500 1
Ce1 Ce 0.000 0.000 0.000 1
P1 P 0.000 0.000 0.500 1
P2 P 0.000 0.500 0.000 1
P3 P 0.500 0.500 0.500 1
P4 P 0.500 0.000 0.000 1
```

Total DFT energy (no corrections) (eV/atom): -6.75
Density of states at the Fermi level (states/eV per cell): 6.9
Symmetry: Pm-3m (221)



Entry from the Alexandria database: crystalline BaSiPbS4 at its relaxed geometry (PBE-GGA).

```
data_BaSiPbS4
_chemical_formula_sum 'Ba2 Si2 Pb2 S8'
_space_group_name_H-M_alt 'P 1'
_space_group_IT_number 1
_cell_length_a 6.769
_cell_length_b 6.756
_cell_length_c 8.613
_cell_angle_alpha 90.00
_cell_angle_beta 108.68
_cell_angle_gamma 90.00
loop_
_space_group_symop_operation_xyz
'x,y,z'
loop_
_atom_site_label
_atom_site_type_symbol
_atom_site_fract_x
_atom_site_fract_y
_atom_site_fract_z
_atom_site_occupancy
Si1 Si 0.785 0.250 0.697 1
Si2 Si 0.215 0.750 0.303 1
S1 S 0.591 0.250 0.852 1
S2 S 0.987 0.499 0.752 1
S3 S 0.987 0.001 0.752 1
S4 S 0.396 0.750 0.557 1
S5 S 0.604 0.250 0.443 1
S6 S 0.013 0.501 0.248 1
S7 S 0.409 0.750 0.148 1
S8 S 0.013 0.999 0.248 1
Pb1 Pb 0.233 0.250 0.540 1
Pb2 Pb 0.767 0.750 0.460 1
Ba1 Ba 0.282 0.250 0.071 1
Ba2 Ba 0.718 0.750 0.929 1
```

Density of states at the Fermi level (states/eV per cell): 0.0
E_form (uncorrected) (eV per formula unit): -7.89
Symmetry: P2_1/m (11)



Entry from the Alexandria database: crystalline MgIrOsW at its relaxed geometry (PBE-GGA).

```
data_MgIrOsW
_chemical_formula_sum 'Mg1 Ir1 Os1 W1'
_space_group_name_H-M_alt 'P 1'
_space_group_IT_number 1
_cell_length_a 4.413
_cell_length_b 4.413
_cell_length_c 4.413
_cell_angle_alpha 60.00
_cell_angle_beta 60.00
_cell_angle_gamma 60.00
loop_
_space_group_symop_operation_xyz
'x,y,z'
loop_
_atom_site_label
_atom_site_type_symbol
_atom_site_fract_x
_atom_site_fract_y
_atom_site_fract_z
_atom_site_occupancy
Os1 Os 0.250 0.250 0.250 1
Mg1 Mg 0.500 0.500 0.500 1
Ir1 Ir 0.750 0.750 0.750 1
W1 W 0.000 0.000 0.000 1
```

Total DFT energy (no corrections) (eV/atom): -8.70
Density of states at the Fermi level (states/eV per cell): 4.5
Symmetry: F-43m (216)



Entry from the Alexandria database: crystalline Zr2CrBr at its relaxed geometry (PBE-GGA).

```
data_Zr2CrBr
_chemical_formula_sum 'Zr2 Cr1 Br1'
_space_group_name_H-M_alt 'P 1'
_space_group_IT_number 1
_cell_length_a 4.764
_cell_length_b 4.764
_cell_length_c 4.764
_cell_angle_alpha 60.00
_cell_angle_beta 60.00
_cell_angle_gamma 60.00
loop_
_space_group_symop_operation_xyz
'x,y,z'
loop_
_atom_site_label
_atom_site_type_symbol
_atom_site_fract_x
_atom_site_fract_y
_atom_site_fract_z
_atom_site_occupancy
Zr1 Zr 0.750 0.750 0.750 1
Zr2 Zr 0.250 0.250 0.250 1
Br1 Br 0.500 0.500 0.500 1
Cr1 Cr 0.000 0.000 0.000 1
```

Density of states at the Fermi level (states/eV per cell): 6.9
E_form (uncorrected) (eV per formula unit): 1.83
Symmetry: Fm-3m (225)



Entry from the Alexandria database: crystalline TiInHg at its relaxed geometry (PBE-GGA).

```
data_TiInHg
_chemical_formula_sum 'Ti1 In1 Hg1'
_space_group_name_H-M_alt 'P 1'
_space_group_IT_number 1
_cell_length_a 3.257
_cell_length_b 4.692
_cell_length_c 4.692
_cell_angle_alpha 120.00
_cell_angle_beta 90.00
_cell_angle_gamma 90.00
loop_
_space_group_symop_operation_xyz
'x,y,z'
loop_
_atom_site_label
_atom_site_type_symbol
_atom_site_fract_x
_atom_site_fract_y
_atom_site_fract_z
_atom_site_occupancy
Ti1 Ti 0.637 0.333 0.667 1
Hg1 Hg 0.306 0.667 0.333 1
In1 In 0.057 0.000 0.000 1
```

Total DFT energy (no corrections) (eV/atom): -3.56
Density of states at the Fermi level (states/eV per cell): 1.7
Symmetry: P3m1 (156)